1.
# SrNp2PdS4, optimized geometry, DFT PBE
# total moment = 8.00 μB per formula unit
# E_form (uncorrected) = -1.41 eV per atom
# Fermi-level density of states = 18.8 states/eV/f.u.
# volume = 721 Å³/cell
# final energy = -0.5561 Ry/atom
data_SrNp2PdS4
_space_group_name_H-M_alt 'C m c m'
_space_group_IT_number 63
_space_group_name_Hall '-C 2c 2'
_cell_length_a 4.0079
_cell_length_b 13.0728
_cell_length_c 13.7645
_cell_angle_alpha 90.00
_cell_angle_beta 90.00
_cell_angle_gamma 90.00
loop_
_atom_site_label
_atom_site_fract_x
_atom_site_fract_y
_atom_site_fract_z
Sr1 0.0000 0.1171 0.2500
Np1 0.0000 0.3688 0.0654
Pd1 0.0000 0.1573 0.7500
S1 0.0000 0.0000 0.0000
S2 0.0000 0.2708 0.6096
S3 0.0000 0.4527 0.2500


2.
# Ca5PrN4, optimized geometry, DFT PBE
# total moment = 0.00 μB per formula unit
# E_form (uncorrected) = -0.82 eV per atom
# Fermi-level density of states = 3.0 states/eV/f.u.
# volume = 410 Å³/cell
# final energy = -0.4137 Ry/atom
data_Ca5PrN4
_space_group_name_H-M_alt 'C 1 2/m 1'
_space_group_IT_number 12
_cell_length_a 15.6422
_cell_length_b 3.6324
_cell_length_c 7.3696
_cell_angle_alpha 90.00
_cell_angle_beta 102.05
_cell_angle_gamma 90.00
loop_
_space_group_symop_operation_xyz
'x,y,z'
'-x,-y,-z'
'-x,y,-z'
'x,-y,z'
'x+1/2,y+1/2,z'
'-x+1/2,-y+1/2,-z'
'-x+1/2,y+1/2,-z'
'x+1/2,-y+1/2,z'
loop_
_atom_site_label
_atom_site_fract_x
_atom_site_fract_y
_atom_site_fract_z
Ca1 0.0000 0.0000 0.0000
Ca2 0.1541 0.5000 0.7930
Ca3 0.1693 0.5000 0.3711
Pr1 0.0000 0.0000 0.5000
N1 0.0027 0.5000 0.2465
N2 0.1690 0.0000 0.5937


3.
# Li3CuAg4, optimized geometry, DFT PBE
# total moment = 0.00 μB per formula unit
# Fermi-level density of states = 2.4 states/eV/f.u.
# volume = 252 Å³/cell
# energy of formation = -0.143 eV/atom
# final energy = -0.2057 Ry/atom
data_Li3CuAg4
_space_group_name_H-M_alt 'I 4/m m m'
_space_group_IT_number 139
_space_group_name_Hall '-I 4 2'
_cell_length_a 4.4722
_cell_length_b 4.4722
_cell_length_c 12.5754
_cell_angle_alpha 90.00
_cell_angle_beta 90.00
_cell_angle_gamma 90.00
loop_
_atom_site_label
_atom_site_fract_x
_atom_site_fract_y
_atom_site_fract_z
Li1 0.0000 0.0000 0.0000
Li2 0.0000 0.0000 0.2548
Cu1 0.0000 0.0000 0.5000
Ag1 0.0000 0.5000 0.1234


4.
# BaInB2O6, optimized geometry, DFT PBE
# total moment = 1.03 μB per formula unit
# E_form (uncorrected) = -2.18 eV per atom
# Fermi-level density of states = 1.7 states/eV/f.u.
# volume = 568 Å³/cell
# final energy = -0.5116 Ry/atom
data_BaInB2O6
_space_group_name_H-M_alt 'C 1 2/c 1'
_space_group_IT_number 15
_cell_length_a 8.8425
_cell_length_b 9.8155
_cell_length_c 6.9657
_cell_angle_alpha 90.00
_cell_angle_beta 109.91
_cell_angle_gamma 90.00
loop_
_space_group_symop_operation_xyz
'x,y,z'
'-x,-y,-z'
'-x,y,-z+1/2'
'x,-y,z+1/2'
'x+1/2,y+1/2,z'
'-x+1/2,-y+1/2,-z'
'-x+1/2,y+1/2,-z+1/2'
'x+1/2,-y+1/2,z+1/2'
loop_
_atom_site_label
_atom_site_fract_x
_atom_site_fract_y
_atom_site_fract_z
Ba1 0.0000 0.1191 0.2500
In1 0.0000 0.3206 0.7500
B1 0.2155 0.4082 0.2081
O1 0.1003 0.3255 0.0781
O2 0.1350 0.1438 0.6811
O3 0.1917 0.4557 0.7355


5.
# Mn2AlSe, optimized geometry, DFT PBE
# total moment = 6.54 μB per formula unit
# E_form (uncorrected) = 0.09 eV per atom
# Fermi-level density of states = 2.8 states/eV/f.u.
# volume = 123 Å³/cell
# polymorph energy (0 for the lowest one) = 0.118 eV/atom
# final energy = -0.4631 Ry/atom
data_Mn2AlSe
_space_group_name_H-M_alt 'C 1 2/m 1'
_space_group_IT_number 12
_cell_length_a 8.4281
_cell_length_b 3.2652
_cell_length_c 4.6385
_cell_angle_alpha 90.00
_cell_angle_beta 105.63
_cell_angle_gamma 90.00
loop_
_space_group_symop_operation_xyz
'x,y,z'
'-x,-y,-z'
'-x,y,-z'
'x,-y,z'
'x+1/2,y+1/2,z'
'-x+1/2,-y+1/2,-z'
'-x+1/2,y+1/2,-z'
'x+1/2,-y+1/2,z'
loop_
_atom_site_label
_atom_site_fract_x
_atom_site_fract_y
_atom_site_fract_z
Mn1 0.2486 0.0000 0.2489
Al1 0.0000 0.0000 0.5000
Se1 0.0000 0.5000 0.0000


6.
# U4Si6Tc7, optimized geometry, DFT PBE
# total moment = 0.02 μB per formula unit
# E_form (uncorrected) = -0.59 eV per atom
# Fermi-level density of states = 15.4 states/eV/f.u.
# volume = 554 Å³/cell
# final energy = -0.6927 Ry/atom
data_U4Si6Tc7
_space_group_name_H-M_alt 'I m -3 m'
_space_group_IT_number 229
_space_group_name_Hall '-I 4 2 3'
_cell_length_a 8.2145
_cell_length_b 8.2145
_cell_length_c 8.2145
_cell_angle_alpha 90.00
_cell_angle_beta 90.00
_cell_angle_gamma 90.00
loop_
_atom_site_label
_atom_site_fract_x
_atom_site_fract_y
_atom_site_fract_z
U1 0.2500 0.2500 0.2500
Si1 0.0000 0.0000 0.3097
Tc1 0.0000 0.0000 0.0000
Tc2 0.0000 0.2500 0.5000


7.
# MnIN2, optimized geometry, DFT PBE
# total moment = 2.83 μB per formula unit
# E_form (uncorrected) = 0.63 eV per atom
# Fermi-level density of states = 1.3 states/eV/f.u.
# volume = 164 Å³/cell
# polymorph energy (0 for the lowest one) = 0.098 eV/atom
# final energy = -0.4569 Ry/atom
data_MnIN2
_space_group_name_H-M_alt 'R -3 m'
_space_group_IT_number 166
_space_group_name_Hall '-R 3 2"'
_cell_length_a 3.1656
_cell_length_b 3.1656
_cell_length_c 18.8612
_cell_angle_alpha 90.00
_cell_angle_beta 90.00
_cell_angle_gamma 120.00
loop_
_atom_site_label
_atom_site_fract_x
_atom_site_fract_y
_atom_site_fract_z
Mn1 0.0000 0.0000 0.0000
I1 0.0000 0.0000 0.5000
N1 0.0000 0.0000 0.3832


8.
# MgCrTc, optimized geometry, DFT PBE
# total moment = 1.03 μB per formula unit
# Fermi-level density of states = 1.5 states/eV/f.u.
# volume = 205 Å³/cell
# polymorph energy (0 for the lowest one) = 0.604 eV/atom
# energy of formation = 0.744 eV/atom
# final energy = -0.4741 Ry/atom
data_MgCrTc
_space_group_name_H-M_alt 'F -4 3 m'
_space_group_IT_number 216
_space_group_name_Hall 'F -4 2 3'
_cell_length_a 5.8940
_cell_length_b 5.8940
_cell_length_c 5.8940
_cell_angle_alpha 90.00
_cell_angle_beta 90.00
_cell_angle_gamma 90.00
loop_
_atom_site_label
_atom_site_fract_x
_atom_site_fract_y
_atom_site_fract_z
Mg1 0.0000 0.0000 0.0000
Cr1 0.2500 0.2500 0.7500
Tc1 0.0000 0.0000 0.5000


9.
# TaFe2HRh, optimized geometry, DFT PBE
# total moment = 2.84 μB per formula unit
# Fermi-level density of states = 4.3 states/eV/f.u.
# volume = 56 Å³/cell
# polymorph energy (0 for the lowest one) = 0.024 eV/atom
# final energy = -0.5922 Ry/atom
data_TaFe2HRh
_space_group_name_H-M_alt 'P 4/m m m'
_space_group_IT_number 123
_space_group_name_Hall '-P 4 2'
_cell_length_a 3.7381
_cell_length_b 3.7381
_cell_length_c 4.0034
_cell_angle_alpha 90.00
_cell_angle_beta 90.00
_cell_angle_gamma 90.00
loop_
_atom_site_label
_atom_site_fract_x
_atom_site_fract_y
_atom_site_fract_z
Ta1 0.0000 0.0000 0.0000
Fe1 0.0000 0.5000 0.5000
H1 0.0000 0.0000 0.5000
Rh1 0.5000 0.5000 0.0000


10.
# PmTl2AgI6, optimized geometry, DFT PBE
# total moment = 0.00 μB per formula unit
# E_form (uncorrected) = -0.85 eV per atom
# Fermi-level density of states = 0.0 states/eV/f.u.
# volume = 817 Å³/cell
# final energy = -0.2219 Ry/atom
data_PmTl2AgI6
_space_group_name_H-M_alt 'P 1 21/c 1'
_space_group_IT_number 14
_cell_length_a 8.0998
_cell_length_b 8.6753
_cell_length_c 14.0467
_cell_angle_alpha 90.00
_cell_angle_beta 124.18
_cell_angle_gamma 90.00
loop_
_space_group_symop_operation_xyz
'x,y,z'
'-x,-y,-z'
'-x,y+1/2,-z+1/2'
'x,-y+1/2,z+1/2'
loop_
_atom_site_label
_atom_site_fract_x
_atom_site_fract_y
_atom_site_fract_z
Pm1 0.0000 0.0000 0.0000
Tl1 0.2943 0.0956 0.7583
Ag1 0.5000 0.0000 0.5000
I1 0.1373 0.0245 0.2558
I2 0.2400 0.6940 0.0557
I3 0.3684 0.1914 0.0546


11.
# PuSc5Pd4, optimized geometry, DFT PBE
# total moment = 6.51 μB per formula unit
# Fermi-level density of states = 11.1 states/eV/f.u.
# volume = 196 Å³/cell
# energy of formation = -0.683 eV/atom
# final energy = -0.5409 Ry/atom
data_PuSc5Pd4
_space_group_name_H-M_alt 'P 4/m m m'
_space_group_IT_number 123
_space_group_name_Hall '-P 4 2'
_cell_length_a 3.2684
_cell_length_b 3.2684
_cell_length_c 18.3568
_cell_angle_alpha 90.00
_cell_angle_beta 90.00
_cell_angle_gamma 90.00
loop_
_atom_site_label
_atom_site_fract_x
_atom_site_fract_y
_atom_site_fract_z
Pu1 0.0000 0.0000 0.0000
Sc1 0.5000 0.5000 0.1314
Sc2 0.5000 0.5000 0.3142
Sc3 0.5000 0.5000 0.5000
Pd1 0.0000 0.0000 0.2230
Pd2 0.0000 0.0000 0.4064


12.
# Na2Np2Se5, optimized geometry, DFT PBE
# total moment = 6.00 μB per formula unit
# E_form (uncorrected) = -1.11 eV per atom
# Fermi-level density of states = 16.3 states/eV/f.u.
# volume = 901 Å³/cell
# polymorph energy (0 for the lowest one) = 0.000 eV/atom
# final energy = -0.4568 Ry/atom
data_Na2Np2Se5
_space_group_name_H-M_alt 'C m c e'
_space_group_IT_number 64
_space_group_name_Hall '-C 2ac 2'
_cell_length_a 14.7882
_cell_length_b 7.7865
_cell_length_c 7.8213
_cell_angle_alpha 90.00
_cell_angle_beta 90.00
_cell_angle_gamma 90.00
loop_
_atom_site_label
_atom_site_fract_x
_atom_site_fract_y
_atom_site_fract_z
Na1 0.2027 0.0000 0.0000
Np1 0.0000 0.1580 0.3415
Se1 0.0000 0.0000 0.0000
Se2 0.1248 0.1480 0.6470


13.
# BaCr3Co, optimized geometry, DFT PBE
# total moment = 12.71 μB per formula unit
# Fermi-level density of states = 7.9 states/eV/f.u.
# volume = 128 Å³/cell
# polymorph energy (0 for the lowest one) = 1.843 eV/atom
# energy of formation = 2.832 eV/atom
# final energy = -0.3490 Ry/atom
data_BaCr3Co
_space_group_name_H-M_alt 'P m -3 m'
_space_group_IT_number 221
_space_group_name_Hall '-P 4 2 3'
_cell_length_a 5.0342
_cell_length_b 5.0342
_cell_length_c 5.0342
_cell_angle_alpha 90.00
_cell_angle_beta 90.00
_cell_angle_gamma 90.00
loop_
_atom_site_label
_atom_site_fract_x
_atom_site_fract_y
_atom_site_fract_z
Ba1 0.0000 0.0000 0.0000
Cr1 0.0000 0.0000 0.5000
Co1 0.5000 0.5000 0.5000


14.
# Pm3Pr6SmEr2, optimized geometry, DFT PBE
# total moment = 0.00 μB per formula unit
# Fermi-level density of states = 15.7 states/eV/f.u.
# volume = 829 Å³/cell
# energy of formation = 0.014 eV/atom
# final energy = -0.3467 Ry/atom
data_Pm3Pr6SmEr2
_space_group_name_H-M_alt 'C 1 2/m 1'
_space_group_IT_number 12
_cell_length_a 6.3506
_cell_length_b 11.0024
_cell_length_c 12.0460
_cell_angle_alpha 90.00
_cell_angle_beta 100.12
_cell_angle_gamma 90.00
loop_
_space_group_symop_operation_xyz
'x,y,z'
'-x,-y,-z'
'-x,y,-z'
'x,-y,z'
'x+1/2,y+1/2,z'
'-x+1/2,-y+1/2,-z'
'-x+1/2,y+1/2,-z'
'x+1/2,-y+1/2,z'
loop_
_atom_site_label
_atom_site_fract_x
_atom_site_fract_y
_atom_site_fract_z
Pm1 0.0000 0.0000 0.0000
Pm2 0.0000 0.3332 0.0000
Pr1 0.2488 0.0000 0.7470
Pr2 0.2500 0.1671 0.2528
Sm1 0.0000 0.5000 0.5000
Er1 0.0000 0.1666 0.5000


15.
# HfBeAg, optimized geometry, DFT PBE
# total moment = 0.00 μB per formula unit
# Fermi-level density of states = 1.5 states/eV/f.u.
# volume = 96 Å³/cell
# polymorph energy (0 for the lowest one) = 0.193 eV/atom
# energy of formation = 0.040 eV/atom
# final energy = -0.4020 Ry/atom
data_HfBeAg
_space_group_name_H-M_alt 'P -1'
_space_group_IT_number 2
_cell_length_a 2.8967
_cell_length_b 4.7289
_cell_length_c 7.1716
_cell_angle_alpha 95.26
_cell_angle_beta 101.57
_cell_angle_gamma 90.06
loop_
_space_group_symop_operation_xyz
'x,y,z'
'-x,-y,-z'
loop_
_atom_site_label
_atom_site_fract_x
_atom_site_fract_y
_atom_site_fract_z
Hf1 0.0879 0.2065 0.1782
Be1 0.4387 0.3209 0.8768
Ag1 0.2151 0.7384 0.4285


16.
# PmVCoP2, optimized geometry, DFT PBE
# total moment = 1.28 μB per formula unit
# Fermi-level density of states = 5.0 states/eV/f.u.
# volume = 160 Å³/cell
# energy of formation = -0.928 eV/atom
# final energy = -0.5355 Ry/atom
data_PmVCoP2
_space_group_name_H-M_alt 'I -4 m 2'
_space_group_IT_number 119
_space_group_name_Hall 'I -4 -2'
_cell_length_a 3.9142
_cell_length_b 3.9142
_cell_length_c 10.4362
_cell_angle_alpha 90.00
_cell_angle_beta 90.00
_cell_angle_gamma 90.00
loop_
_atom_site_label
_atom_site_fract_x
_atom_site_fract_y
_atom_site_fract_z
Pm1 0.0000 0.0000 0.0000
V1 0.0000 0.5000 0.2500
Co1 0.0000 0.5000 0.7500
P1 0.0000 0.0000 0.3656


17.
# BaLa2Os, optimized geometry, DFT PBE
# total moment = 0.00 μB per formula unit
# Fermi-level density of states = 3.1 states/eV/f.u.
# volume = 322 Å³/cell
# polymorph energy (0 for the lowest one) = 0.000 eV/atom
# energy of formation = -0.049 eV/atom
# final energy = -0.4263 Ry/atom
data_BaLa2Os
_space_group_name_H-M_alt 'C 1 2/m 1'
_space_group_IT_number 12
_cell_length_a 7.4496
_cell_length_b 4.2981
_cell_length_c 10.3483
_cell_angle_alpha 90.00
_cell_angle_beta 103.81
_cell_angle_gamma 90.00
loop_
_space_group_symop_operation_xyz
'x,y,z'
'-x,-y,-z'
'-x,y,-z'
'x,-y,z'
'x+1/2,y+1/2,z'
'-x+1/2,-y+1/2,-z'
'-x+1/2,y+1/2,-z'
'x+1/2,-y+1/2,z'
loop_
_atom_site_label
_atom_site_fract_x
_atom_site_fract_y
_atom_site_fract_z
Ba1 0.0000 0.0000 0.0000
La1 0.2140 0.0000 0.6427
Os1 0.0000 0.5000 0.5000


18.
# Zr2TlV, optimized geometry, DFT PBE
# total moment = 1.53 μB per formula unit
# Fermi-level density of states = 3.9 states/eV/f.u.
# volume = 83 Å³/cell
# polymorph energy (0 for the lowest one) = 0.058 eV/atom
# energy of formation = 0.095 eV/atom
# final energy = -0.5182 Ry/atom
data_Zr2TlV
_space_group_name_H-M_alt 'P 4/m m m'
_space_group_IT_number 123
_space_group_name_Hall '-P 4 2'
_cell_length_a 4.5020
_cell_length_b 4.5020
_cell_length_c 4.0805
_cell_angle_alpha 90.00
_cell_angle_beta 90.00
_cell_angle_gamma 90.00
loop_
_atom_site_label
_atom_site_fract_x
_atom_site_fract_y
_atom_site_fract_z
Zr1 0.0000 0.5000 0.0000
Tl1 0.0000 0.0000 0.5000
V1 0.5000 0.5000 0.5000


19.
# TaZnHg2, optimized geometry, DFT PBE
# total moment = 0.00 μB per formula unit
# Fermi-level density of states = 2.4 states/eV/f.u.
# volume = 78 Å³/cell
# energy of formation = 0.253 eV/atom
# final energy = -0.2337 Ry/atom
data_TaZnHg2
_space_group_name_H-M_alt 'P 4 m m'
_space_group_IT_number 99
_cell_length_a 2.9540
_cell_length_b 2.9540
_cell_length_c 8.9467
_cell_angle_alpha 90.00
_cell_angle_beta 90.00
_cell_angle_gamma 90.00
loop_
_space_group_symop_operation_xyz
'x,y,z'
'-y,x,z'
'-x,-y,z'
'y,-x,z'
'-x,y,z'
'y,x,z'
'x,-y,z'
'-y,-x,z'
loop_
_atom_site_label
_atom_site_fract_x
_atom_site_fract_y
_atom_site_fract_z
Ta1 0.0000 0.0000 0.0000
Zn1 0.5000 0.5000 0.2117
Hg1 0.0000 0.0000 0.4587
Hg2 0.5000 0.5000 0.7511


20.
# BaPuTlPb, optimized geometry, DFT PBE
# total moment = 6.05 μB per formula unit
# Fermi-level density of states = 15.4 states/eV/f.u.
# volume = 550 Å³/cell
# energy of formation = -0.138 eV/atom
# final energy = -0.4205 Ry/atom
data_BaPuTlPb
_space_group_name_H-M_alt 'F -4 3 m'
_space_group_IT_number 216
_space_group_name_Hall 'F -4 2 3'
_cell_length_a 8.1908
_cell_length_b 8.1908
_cell_length_c 8.1908
_cell_angle_alpha 90.00
_cell_angle_beta 90.00
_cell_angle_gamma 90.00
loop_
_atom_site_label
_atom_site_fract_x
_atom_site_fract_y
_atom_site_fract_z
Ba1 0.0000 0.0000 0.0000
Pu1 0.0000 0.0000 0.5000
Tl1 0.2500 0.2500 0.2500
Pb1 0.2500 0.2500 0.7500